Record 1
Pm4Pr3Sc: optimized geometry, PBE.

Calculated values
Density: 6.4 g/cm3
Crystal system: orthorhombic
ΔH_f (0 K): 2.71 kcal/mol of atoms
Raw total energy: -4.84 eV/atom
Total moment: 0.0 μB/f.u.
SG: No. 71

a = 3.537 Å, b = 11.815 Å, c = 8.992 Å
α = 131.09°, β = 101.34°, γ = 90.00°
Element x y z (fractional)
Pm (0.368, 0.112, 0.735)
Pm (0.632, 0.376, 0.264)
Pm (0.632, 0.888, 0.265)
Pm (0.368, 0.624, 0.736)
Sc (0.500, 0.000, 0.000)
Pr (0.238, 0.238, 0.476)
Pr (0.762, 0.762, 0.524)
Pr (0.000, 0.500, 0.000)



Record 2
Pm7Pr3Sc: optimized geometry, PBE.

Calculated values
Density: 6.3 g/cm3
Crystal system: trigonal
ΔH_f (0 K): 3.97 kcal/mol of atoms
Raw total energy: -4.73 eV/atom
Total moment: 0.0 μB/f.u.
SG: No. 156

a = 8.795 Å, b = 7.183 Å, c = 7.183 Å
α = 120.00°, β = 90.00°, γ = 90.00°
Element x y z (fractional)
Pm (0.121, 0.667, 0.333)
Pm (0.121, 0.168, 0.832)
Pm (0.449, 0.833, 0.666)
Pm (0.121, 0.664, 0.832)
Pm (0.121, 0.168, 0.336)
Pm (0.449, 0.334, 0.167)
Pm (0.449, 0.833, 0.167)
Pr (0.780, 0.499, 0.998)
Pr (0.780, 0.499, 0.501)
Pr (0.780, 0.002, 0.501)
Sc (0.443, 0.333, 0.667)



Record 3
Pm4Pr5Sc2: optimized geometry, PBE.

Calculated values
Density: 6.1 g/cm3
Crystal system: monoclinic
ΔH_f (0 K): 2.51 kcal/mol of atoms
Raw total energy: -4.94 eV/atom
Total moment: 0.0 μB/f.u.
SG: No. 12

a = 3.552 Å, b = 8.736 Å, c = 12.173 Å
α = 94.41°, β = 98.39°, γ = 90.00°
Element x y z (fractional)
Sc (0.413, 0.305, 0.827)
Sc (0.587, 0.695, 0.173)
Pr (0.820, 0.522, 0.639)
Pr (0.130, 0.039, 0.260)
Pr (0.500, 0.000, 0.000)
Pr (0.870, 0.961, 0.740)
Pr (0.180, 0.478, 0.361)
Pm (0.962, 0.650, 0.924)
Pm (0.038, 0.350, 0.076)
Pm (0.726, 0.824, 0.452)
Pm (0.274, 0.176, 0.548)



Record 4
Pm5PrSc4: optimized geometry, PBE.

Calculated values
Density: 5.4 g/cm3
Crystal system: orthorhombic
ΔH_f (0 K): 6.06 kcal/mol of atoms
Raw total energy: -5.12 eV/atom
Total moment: 0.0 μB/f.u.
SG: No. 59

a = 5.460 Å, b = 11.315 Å, c = 10.419 Å
α = 90.00°, β = 90.00°, γ = 90.00°
Element x y z (fractional)
Pm (0.749, 0.500, 0.000)
Pm (0.250, 0.204, 0.801)
Pm (0.250, 0.796, 0.801)
Pm (0.250, 0.796, 0.199)
Pm (0.250, 0.204, 0.199)
Pm (0.750, 0.296, 0.301)
Pm (0.750, 0.704, 0.301)
Pm (0.750, 0.704, 0.699)
Pm (0.251, 0.000, 0.500)
Pm (0.750, 0.296, 0.699)
Sc (0.249, 0.500, 0.263)
Sc (0.250, 0.691, 0.500)
Sc (0.249, 0.500, 0.737)
Sc (0.250, 0.309, 0.500)
Sc (0.751, 0.000, 0.237)
Sc (0.750, 0.809, 0.000)
Sc (0.751, 0.000, 0.763)
Sc (0.750, 0.191, 0.000)
Pr (0.749, 0.500, 0.500)
Pr (0.251, 0.000, 0.000)



Record 5
Pm2Pr3Sc: optimized geometry, PBE.

Calculated values
Density: 6.3 g/cm3
Crystal system: triclinic
ΔH_f (0 K): 0.89 kcal/mol of atoms
Raw total energy: -4.99 eV/atom
Total moment: 0.0 μB/f.u.
SG: No. 2

a = 6.256 Å, b = 9.574 Å, c = 10.859 Å
α = 129.02°, β = 125.24°, γ = 77.46°
Element x y z (fractional)
Pm (0.537, 0.885, 0.087)
Pm (0.214, 0.880, 0.419)
Pm (0.786, 0.120, 0.581)
Pm (0.463, 0.115, 0.913)
Pr (0.038, 0.361, 0.077)
Pr (0.290, 0.626, 0.583)
Pr (0.962, 0.639, 0.923)
Pr (0.710, 0.374, 0.417)
Pr (0.373, 0.373, 0.746)
Pr (0.627, 0.627, 0.254)
Sc (0.879, 0.878, 0.756)
Sc (0.121, 0.122, 0.244)



Record 6
Pm4Pr3Sc: optimized geometry, PBE.

Calculated values
Density: 6.4 g/cm3
Crystal system: orthorhombic
ΔH_f (0 K): 1.10 kcal/mol of atoms
Raw total energy: -4.91 eV/atom
Total moment: 0.0 μB/f.u.
SG: No. 31

a = 6.334 Å, b = 7.344 Å, c = 11.719 Å
α = 90.00°, β = 90.00°, γ = 90.00°
Element x y z (fractional)
Pm (0.653, 0.125, 0.500)
Pm (0.644, 0.128, 0.000)
Pm (0.986, 0.127, 0.243)
Pm (0.486, 0.873, 0.257)
Pm (0.153, 0.875, 0.000)
Pm (0.486, 0.873, 0.743)
Pm (0.144, 0.872, 0.500)
Pm (0.986, 0.127, 0.757)
Pr (0.647, 0.625, 0.000)
Pr (0.978, 0.622, 0.751)
Pr (0.478, 0.378, 0.251)
Pr (0.978, 0.622, 0.249)
Pr (0.478, 0.378, 0.749)
Pr (0.147, 0.375, 0.500)
Sc (0.644, 0.625, 0.500)
Sc (0.144, 0.375, 0.000)



Record 7
Pm2Pr3ScSe6: optimized geometry, PBE.

Calculated values
Density: 6.6 g/cm3
Formation energy (no corrections): -1.7832 eV per atom
Crystal system: monoclinic
Raw total energy: -6.04 eV/atom
Total moment: 0.0 μB/f.u.
SG: No. 12

a = 4.156 Å, b = 8.433 Å, c = 9.356 Å
α = 103.42°, β = 102.83°, γ = 90.00°
Element x y z (fractional)
Pr (0.500, 0.500, 0.000)
Pr (0.828, 0.164, 0.657)
Pr (0.172, 0.836, 0.343)
Se (0.344, 0.918, 0.688)
Se (0.333, 0.420, 0.665)
Se (0.656, 0.082, 0.312)
Se (0.667, 0.580, 0.335)
Se (0.001, 0.772, 0.002)
Se (0.999, 0.228, 0.998)
Pm (0.833, 0.666, 0.666)
Pm (0.167, 0.334, 0.334)
Sc (0.500, 0.000, 0.000)



Record 8
PmPr3Sc2Se6: optimized geometry, PBE.

Calculated values
Density: 6.3 g/cm3
Formation energy (no corrections): -1.7413 eV per atom
Crystal system: monoclinic
Raw total energy: -6.13 eV/atom
Total moment: 0.0 μB/f.u.
SG: No. 12

a = 7.096 Å, b = 7.096 Å, c = 7.255 Å
α = 99.40°, β = 99.40°, γ = 120.18°
Element x y z (fractional)
Pr (0.842, 0.158, 0.500)
Pr (0.158, 0.842, 0.500)
Pr (0.500, 0.500, 0.500)
Se (0.574, 0.924, 0.771)
Se (0.924, 0.574, 0.771)
Se (0.276, 0.276, 0.778)
Se (0.426, 0.076, 0.229)
Se (0.724, 0.724, 0.222)
Se (0.076, 0.426, 0.229)
Sc (0.335, 0.665, 0.000)
Sc (0.665, 0.335, 0.000)
Pm (0.000, 0.000, 0.000)